Material: TmTlZnF6
Method: DFT, GGA-PBE
State: optimized geometry

a b c (Å): 8.0897 7.6514 7.8748
angles (deg): 119.07 120.91 90.00
Fractional coordinates of all 18 atoms:
Tm 0.5000 0.0000 0.5000
Tl 0.7799 0.5299 0.5599
F 0.1794 0.9294 0.3589
Tm 0.0000 0.0000 0.5000
F 0.5441 0.9085 0.7341
Zn 0.5000 0.5000 0.0000
F 0.8100 0.0915 0.2659
F 0.4559 0.6744 0.2659
F 0.1900 0.3256 0.7341
F 0.5441 0.3256 0.7341
F 0.4559 0.0915 0.2659
F 0.8100 0.6744 0.2659
F 0.1900 0.9085 0.7341
F 0.4461 0.6961 0.8921
F 0.8206 0.0706 0.6411
F 0.5539 0.3039 0.1079
Tl 0.2201 0.4701 0.4401
Zn 0.5000 0.0000 0.0000

E_tot: -0.18966 Ha/atom
M_tot: 0.00 μB per formula unit
symmetry: Imma
ΔE_f (raw): -3012.0 meV/atom

---

Material: UTl2F11
Method: DFT, GGA-PBE
State: optimized geometry

a b c (Å): 8.0660 8.7874 8.7874
angles (deg): 74.25 62.68 62.68
Fractional coordinates of all 28 atoms:
F 0.7376 0.6922 0.0079
F 0.7624 0.4921 0.8078
F 0.9403 0.4185 0.2895
Tl 0.8688 0.1798 0.8202
F 0.5624 0.0079 0.6922
F 0.3516 0.2895 0.4185
F 0.8619 0.7782 0.2218
F 0.3619 0.7218 0.2782
F 0.6381 0.2782 0.7218
F 0.1381 0.2218 0.7782
U 0.2500 0.2500 0.2500
F 0.0000 0.0000 0.0000
F 0.6484 0.7105 0.5815
U 0.7500 0.7500 0.7500
Tl 0.1312 0.8202 0.1798
F 0.2624 0.3078 0.9921
F 0.4403 0.7895 0.9185
F 0.2376 0.5079 0.1922
F 0.0597 0.5815 0.7105
F 0.0624 0.1922 0.5079
Tl 0.6312 0.6798 0.3202
F 0.9376 0.8078 0.4921
F 0.8516 0.9185 0.7895
Tl 0.3688 0.3202 0.6798
F 0.4376 0.9921 0.3078
F 0.5000 0.5000 0.5000
F 0.5597 0.2105 0.0815
F 0.1484 0.0815 0.2105

E_tot: -0.18762 Ha/atom
M_tot: 0.00 μB per formula unit
symmetry: Ibam
ΔE_f (raw): -2490.6 meV/atom

---

Material: UTl3F8
Method: DFT, GGA-PBE
State: optimized geometry

a b c (Å): 6.2087 6.2087 6.2087
angles (deg): 90.00 90.00 90.00
Fractional coordinates of all 12 atoms:
U 0.0000 0.0000 0.0000
F 0.2067 0.2067 0.2067
F 0.7933 0.7933 0.7933
F 0.2067 0.2067 0.7933
F 0.2067 0.7933 0.2067
F 0.7933 0.2067 0.7933
Tl 0.5000 0.0000 0.5000
F 0.7933 0.7933 0.2067
Tl 0.0000 0.5000 0.5000
F 0.2067 0.7933 0.7933
Tl 0.5000 0.5000 0.0000
F 0.7933 0.2067 0.2067

E_tot: -0.20124 Ha/atom
M_tot: 1.00 μB per formula unit
symmetry: Pm-3m
ΔE_f (raw): -2696.2 meV/atom

---

Material: UTl2F4
Method: DFT, GGA-PBE
State: optimized geometry

a b c (Å): 4.6054 4.6054 10.1830
angles (deg): 76.93 76.93 90.00
Fractional coordinates of all 7 atoms:
F 0.5000 0.0000 0.0000
Tl 0.2530 0.2530 0.4941
Tl 0.7470 0.7470 0.5059
U 0.0000 0.0000 0.0000
F 0.1100 0.1100 0.7799
F 0.8900 0.8900 0.2201
F 0.0000 0.5000 0.0000

E_tot: -0.21269 Ha/atom
M_tot: 2.43 μB per formula unit
symmetry: I4/mmm
ΔE_f (raw): -2429.6 meV/atom

---

Material: UTl3F7
Method: DFT, GGA-PBE
State: optimized geometry

a b c (Å): 6.2296 6.2296 7.2039
angles (deg): 69.08 69.08 90.20
Fractional coordinates of all 11 atoms:
F 0.3132 0.9827 0.7903
F 0.9827 0.3132 0.7903
U 0.9615 0.9615 0.0254
F 0.8603 0.8603 0.7995
Tl 0.5003 0.5003 0.9950
F 0.6472 0.0956 0.2104
Tl 0.7593 0.2574 0.4909
F 0.1022 0.1022 0.2076
F 0.6451 0.6451 0.2392
Tl 0.2574 0.7593 0.4909
F 0.0956 0.6472 0.2104

E_tot: -0.20292 Ha/atom
M_tot: 2.00 μB per formula unit
symmetry: Cm
ΔE_f (raw): -2659.4 meV/atom

---

Material: UTl2F7
Method: DFT, GGA-PBE
State: optimized geometry

a b c (Å): 7.4974 8.1571 8.5417
angles (deg): 74.14 63.97 62.64
Fractional coordinates of all 20 atoms:
F 0.9848 0.6365 0.1277
Tl 0.4065 0.0863 0.2793
F 0.7491 0.8635 0.3723
F 0.9853 0.9694 0.7120
F 0.6667 0.5306 0.7880
F 0.3993 0.7500 0.2500
F 0.2260 0.8455 0.9837
F 0.0152 0.3635 0.8723
F 0.6007 0.2500 0.7500
Tl 0.7721 0.4137 0.2207
Tl 0.5935 0.9137 0.7207
Tl 0.2279 0.5863 0.7793
F 0.2509 0.1365 0.6277
U 0.8883 0.2500 0.7500
F 0.0552 0.6545 0.5163
F 0.9448 0.3455 0.4837
F 0.3333 0.4694 0.2120
U 0.1117 0.7500 0.2500
F 0.0147 0.0306 0.2880
F 0.7740 0.1545 0.0163

E_tot: -0.21350 Ha/atom
M_tot: 1.00 μB per formula unit
symmetry: C2/c
ΔE_f (raw): -2897.8 meV/atom

---

Material: U6TlF25
Method: DFT, GGA-PBE
State: optimized geometry

a b c (Å): 8.1795 8.1795 16.5679
angles (deg): 90.00 90.00 120.00
Fractional coordinates of all 64 atoms:
F 0.3333 0.6667 0.4412
F 0.5350 0.0701 0.8390
F 0.0000 0.0000 0.4229
F 0.8458 0.1542 0.3541
F 0.4650 0.9299 0.1610
U 0.8328 0.6657 0.8873
F 0.6667 0.3333 0.5588
F 0.1466 0.2931 0.2500
F 0.3333 0.6667 0.0588
F 0.8458 0.1542 0.1459
F 0.7069 0.8534 0.2500
F 0.0000 0.0000 0.9229
F 0.0000 0.6768 0.0000
Tl 0.3333 0.6667 0.7500
U 0.8328 0.1672 0.8873
F 0.6768 0.0000 0.0000
U 0.1672 0.8328 0.1127
F 0.9299 0.4650 0.8390
F 0.4650 0.5350 0.3390
F 0.6768 0.0000 0.5000
F 0.0000 0.3232 0.5000
F 0.8534 0.7069 0.7500
U 0.6657 0.8328 0.1127
F 0.3232 0.0000 0.0000
F 0.6915 0.8458 0.8541
F 0.0000 0.3232 0.0000
U 0.1672 0.3343 0.1127
F 0.1466 0.8534 0.2500
F 0.6768 0.6768 0.0000
F 0.0701 0.5350 0.1610
F 0.3232 0.3232 0.0000
F 0.0701 0.5350 0.3390
F 0.6667 0.3333 0.9412
F 0.8458 0.6915 0.3541
F 0.0000 0.0000 0.0771
F 0.9299 0.4650 0.6610
F 0.1542 0.8458 0.6459
F 0.1542 0.3085 0.6459
F 0.8458 0.6915 0.1459
F 0.2931 0.1466 0.7500
U 0.3343 0.1672 0.6127
U 0.3343 0.1672 0.8873
F 0.3085 0.1542 0.1459
F 0.3232 0.0000 0.5000
F 0.8534 0.1466 0.7500
F 0.4650 0.9299 0.3390
F 0.3085 0.1542 0.3541
F 0.5350 0.0701 0.6610
U 0.6657 0.8328 0.3873
U 0.1672 0.3343 0.3873
U 0.1672 0.8328 0.3873
F 0.6768 0.6768 0.5000
F 0.5350 0.4650 0.6610
F 0.0000 0.6768 0.5000
F 0.0000 0.0000 0.5771
U 0.8328 0.6657 0.6127
F 0.1542 0.3085 0.8541
U 0.8328 0.1672 0.6127
F 0.5350 0.4650 0.8390
F 0.4650 0.5350 0.1610
F 0.6915 0.8458 0.6459
Tl 0.6667 0.3333 0.2500
F 0.1542 0.8458 0.8541
F 0.3232 0.3232 0.5000

E_tot: -0.26296 Ha/atom
M_tot: 12.00 μB per formula unit
symmetry: P6_3/mmc
ΔE_f (raw): -3503.0 meV/atom

---

Material: UTl6F12
Method: DFT, GGA-PBE
State: optimized geometry

a b c (Å): 7.9146 7.9146 7.9146
angles (deg): 99.29 99.29 99.29
Fractional coordinates of all 19 atoms:
F 0.7436 0.0211 0.9185
F 0.4196 0.5747 0.8028
Tl 0.1633 0.3496 0.6052
F 0.5747 0.8028 0.4196
F 0.1972 0.5804 0.4253
F 0.4253 0.1972 0.5804
F 0.2564 0.9789 0.0815
Tl 0.3948 0.8367 0.6504
Tl 0.8367 0.6504 0.3948
Tl 0.3496 0.6052 0.1633
Tl 0.6504 0.3948 0.8367
F 0.0815 0.2564 0.9789
F 0.5804 0.4253 0.1972
F 0.8028 0.4196 0.5747
Tl 0.6052 0.1633 0.3496
F 0.0211 0.9185 0.7436
F 0.9185 0.7436 0.0211
F 0.9789 0.0815 0.2564
U 0.0000 0.0000 0.0000

E_tot: -0.17849 Ha/atom
M_tot: 0.72 μB per formula unit
symmetry: R-3
ΔE_f (raw): -2333.6 meV/atom

---

Material: UTlZn2F8
Method: DFT, GGA-PBE
State: optimized geometry

a b c (Å): 5.5028 5.5028 8.5897
angles (deg): 71.32 71.32 60.00
Fractional coordinates of all 12 atoms:
F 0.4069 0.7239 0.8314
F 0.7239 0.0378 0.8314
Zn 0.7621 0.7621 0.7136
F 0.9622 0.5931 0.1686
Zn 0.2379 0.2379 0.2864
U 0.0000 0.0000 0.0000
F 0.8400 0.8400 0.4800
Tl 0.5000 0.5000 0.5000
F 0.5931 0.2761 0.1686
F 0.0378 0.4069 0.8314
F 0.2761 0.9622 0.1686
F 0.1600 0.1600 0.5200

E_tot: -0.18712 Ha/atom
M_tot: 2.89 μB per formula unit
symmetry: R-3
ΔE_f (raw): -2494.2 meV/atom

---

> Among the records above, which one has the lowest ΔE_f (raw)?

U6TlF25

---

> Among the records above, which one has the highest M_tot?

U6TlF25

---

> What is the formula in the eighth record?

UTl6F12